1.
Entry from Alexandria: an optimized crystal structure of YZnMo2Se (PBE).

Unit cell a=4.649 b=5.247 c=4.649 alpha=90.00 beta=90.00 gamma=90.00
Fractional coordinates of all 5 atoms:
Mo 0.000 0.000 0.500
Mo 0.500 0.000 0.000
Y 0.000 0.500 0.000
Se 0.000 0.000 0.000
Zn 0.500 0.500 0.500

Computed properties:
- SG = P4/mmm, No. 123
- N(E_F) (states/eV/f.u.) = 7.9
- formation energy (no corrections) (meV/atom) = 665

---

2.
Entry from Alexandria: an optimized crystal structure of ZrMo3Pd (PBE).

Unit cell a=4.738 b=4.738 c=4.738 alpha=90.00 beta=90.00 gamma=90.00
Fractional coordinates of all 5 atoms:
Pd 0.500 0.500 0.500
Mo 0.500 0.000 0.000
Mo 0.000 0.000 0.500
Mo 0.000 0.500 0.000
Zr 0.000 0.000 0.000

Computed properties:
- SG = Pm-3m, No. 221
- formation energy (eV/atom) = 2.059
- N(E_F) (states/eV/f.u.) = 6.6
- distance to the lowest polymorph of the same formula (meV/atom) = 461

---

3.
Entry from Alexandria: an optimized crystal structure of PmErScZn (PBE).

Unit cell a=3.471 b=3.471 c=8.525 alpha=90.00 beta=90.00 gamma=90.00
Fractional coordinates of all 4 atoms:
Zn 0.000 0.000 0.553
Er 0.500 0.500 0.773
Pm 0.000 0.000 0.084
Sc 0.500 0.500 0.374

Computed properties:
- SG = P4mm, No. 99
- formation energy (eV/atom) = -0.155
- N(E_F) (states/eV/f.u.) = 4.0
- distance to the lowest polymorph of the same formula (meV/atom) = 0

---

4.
Entry from Alexandria: an optimized crystal structure of Sc2Ge3 (PBE).

Unit cell a=3.868 b=6.309 c=5.394 alpha=125.79 beta=111.03 gamma=89.95
Fractional coordinates of all 5 atoms:
Sc 0.225 0.726 0.451
Sc 0.775 0.274 0.549
Ge 0.500 0.301 0.000
Ge 0.000 0.000 0.000
Ge 0.500 0.699 0.000

Computed properties:
- SG = Immm, No. 71
- formation energy (eV/atom) = -0.634
- N(E_F) (states/eV/f.u.) = 2.2

---

5.
Entry from Alexandria: an optimized crystal structure of ErIn2Te4Au (PBE).

Unit cell a=4.259 b=7.857 c=7.795 alpha=69.78 beta=90.00 gamma=90.00
Fractional coordinates of all 8 atoms:
Te 0.000 0.286 0.226
Te 0.000 0.714 0.774
Te 0.500 0.255 0.731
Te 0.500 0.745 0.269
Au 0.500 0.500 0.000
Er 0.000 0.500 0.500
In 0.000 0.000 0.000
In 0.500 0.000 0.500

Computed properties:
- SG = P2/m, No. 10
- N(E_F) (states/eV/f.u.) = 3.6
- formation energy (no corrections) (meV/atom) = -490

---

6.
Entry from Alexandria: an optimized crystal structure of Li4CuAg7 (PBE).

Unit cell a=5.644 b=4.959 c=8.408 alpha=74.55 beta=63.59 gamma=74.53
Fractional coordinates of all 12 atoms:
Ag 0.242 0.511 0.157
Ag 0.012 0.991 0.676
Ag 0.758 0.489 0.843
Ag 0.500 0.000 0.000
Ag 0.988 0.009 0.324
Ag 0.750 0.501 0.496
Ag 0.250 0.499 0.504
Li 0.742 0.503 0.168
Li 0.478 0.005 0.337
Li 0.522 0.995 0.663
Li 0.258 0.497 0.832
Cu 0.000 0.000 0.000

Computed properties:
- SG = P-1, No. 2
- formation energy (eV/atom) = -0.111
- N(E_F) (states/eV/f.u.) = 3.2
- distance to the lowest polymorph of the same formula (meV/atom) = 0

---

7.
Entry from Alexandria: an optimized crystal structure of Sc2ReBr (PBE).

Unit cell a=9.226 b=9.226 c=9.226 alpha=21.38 beta=21.38 gamma=21.38
Fractional coordinates of all 4 atoms:
Re 0.500 0.500 0.500
Sc 0.902 0.902 0.902
Sc 0.098 0.098 0.098
Br 0.000 0.000 0.000

Computed properties:
- SG = R-3m, No. 166
- N(E_F) (states/eV/f.u.) = 3.1
- formation energy (no corrections) (meV/atom) = -209
- distance to the lowest polymorph of the same formula (meV/atom) = 326

---

8.
Entry from Alexandria: an optimized crystal structure of AcSnHgPd (PBE).

Unit cell a=5.254 b=5.254 c=5.254 alpha=60.00 beta=60.00 gamma=60.00
Fractional coordinates of all 4 atoms:
Hg 0.500 0.500 0.500
Ac 0.250 0.250 0.250
Sn 0.750 0.750 0.750
Pd 0.000 0.000 0.000

Computed properties:
- SG = F-43m, No. 216
- formation energy (eV/atom) = -0.549
- N(E_F) (states/eV/f.u.) = 2.4

---

9.
Entry from Alexandria: an optimized crystal structure of Cd4PtSe (PBE).

Unit cell a=5.658 b=5.658 c=5.658 alpha=60.00 beta=60.00 gamma=60.00
Fractional coordinates of all 6 atoms:
Cd 0.375 0.375 0.375
Cd 0.375 0.375 0.874
Cd 0.375 0.874 0.375
Cd 0.874 0.375 0.375
Pt 0.750 0.750 0.750
Se 0.000 0.000 0.000

Computed properties:
- SG = F-43m, No. 216
- N(E_F) (states/eV/f.u.) = 1.6
- formation energy (no corrections) (meV/atom) = 244

---

10.
Entry from Alexandria: an optimized crystal structure of Ca2LaI (PBE).

Unit cell a=3.951 b=3.951 c=11.297 alpha=79.93 beta=79.93 gamma=60.00
Fractional coordinates of all 4 atoms:
La 0.500 0.500 0.500
Ca 0.259 0.259 0.223
Ca 0.741 0.741 0.777
I 0.000 0.000 0.000

Computed properties:
- SG = R-3m, No. 166
- N(E_F) (states/eV/f.u.) = 2.9
- formation energy (no corrections) (meV/atom) = -508
- distance to the lowest polymorph of the same formula (meV/atom) = 0

---

11.
Entry from Alexandria: an optimized crystal structure of CaBSb2Te (PBE).

Unit cell a=4.975 b=4.975 c=5.050 alpha=90.00 beta=90.00 gamma=90.00
Fractional coordinates of all 5 atoms:
Sb 0.500 0.000 0.000
Sb 0.000 0.500 0.000
Ca 0.500 0.500 0.500
Te 0.000 0.000 0.500
B 0.000 0.000 0.000

Computed properties:
- SG = P4/mmm, No. 123
- N(E_F) (states/eV/f.u.) = 4.1
- formation energy (no corrections) (meV/atom) = 241
- distance to the lowest polymorph of the same formula (meV/atom) = 0

---

12.
Entry from Alexandria: an optimized crystal structure of MnCrPIr2 (PBE).

Unit cell a=4.391 b=4.269 c=4.391 alpha=90.00 beta=90.00 gamma=90.00
Fractional coordinates of all 5 atoms:
Cr 0.000 0.500 0.000
Ir 0.500 0.000 0.000
Ir 0.000 0.000 0.500
P 0.000 0.000 0.000
Mn 0.500 0.500 0.500

Computed properties:
- SG = P4/mmm, No. 123
- formation energy (eV/atom) = 0.372
- N(E_F) (states/eV/f.u.) = 3.3

---

| no. | ρ (g/cm³) | electronic total energy (eV for the cell shown) |
| --- | --- | --- |
| 1 | 6.226 | -29.6 |
| 2 | 7.578 | -35.9 |
| 3 | 6.832 | -17.5 |
| 4 | 5.336 | -29.7 |
| 5 | 7.490 | -29.8 |
| 6 | 7.022 | -33.0 |
| 7 | 6.469 | -27.6 |
| 8 | 10.566 | -15.8 |
| 9 | 9.381 | -11.7 |
| 10 | 3.840 | -12.5 |
| 11 | 5.606 | -18.9 |
| 12 | 10.539 | -40.1 |